(1)
Computed, not measured: a geometry-optimized AcLaCdRh structure at the PBE level of DFT.

The structure belongs to space group F-43m (No. 216); the cell edges are 7.645, 7.645 and 7.645 Å and the angles 90.00°, 90.00° and 90.00°. The inequivalent atoms are Ac at (0.000, 0.000, 0.000), La at (0.000, 0.000, 0.500), Cd at (0.250, 0.250, 0.750) and Rh at (0.250, 0.250, 0.250).

Its density of states at the Fermi level is 2.5 states/eV/f.u. For the formation energy, the calculation gives -1.5 eV/f.u. For the volume, the calculation gives 446.8 Å³ per cell. The total energy is -4.7054 eV/atom.

***

(2)
Computed, not measured: a geometry-optimized AcLaCdSb structure at the PBE level of DFT.

The structure belongs to space group F-43m (No. 216); the cell edges are 8.006, 8.006 and 8.006 Å and the angles 90.00°, 90.00° and 90.00°. The inequivalent atoms are Ac at (0.000, 0.000, 0.000), La at (0.000, 0.000, 0.500), Cd at (0.250, 0.250, 0.750) and Sb at (0.250, 0.250, 0.250).

Its density of states at the Fermi level is 4.4 states/eV/f.u. As for the formation energy from raw total energies: -0.599 eV per atom. For the volume, the calculation gives 513.1 Å³ per cell. The total energy is -4.1175 eV/atom.

***

(3)
Computed, not measured: a geometry-optimized AcLaSmCd structure at the PBE level of DFT.

The structure belongs to space group F-43m (No. 216); the cell edges are 8.140, 8.140 and 8.140 Å and the angles 90.00°, 90.00° and 90.00°. The inequivalent atoms are Ac at (0.000, 0.000, 0.000), La at (0.250, 0.250, 0.750), Sm at (0.250, 0.250, 0.250) and Cd at (0.000, 0.000, 0.500).

Its distance to the lowest polymorph of the same formula is 0.168 eV per atom. Its density of states at the Fermi level is 5.8 states/eV/f.u. For the formation energy, the calculation gives 0.1 eV/f.u. For the volume, the calculation gives 539.4 Å³ per cell. The total energy is -3.6512 eV/atom.